TlFe2Te: relaxed, GGA-PBEsol.

Computed properties:
**Relative energy among the computed polymorphs**: 0.0 meV per atom
**DOS(E_F)**: 1.3081 states/eV per atom
**V**: 69 Å³/f.u.
**Raw total energy**: -5.46 eV per atom

```
4
Lattice="3.195 0.000 0.000 1.598 2.767 0.000 1.598 0.922 7.857" Properties=species:S:1:pos:R:3 pbc="T T T"
Fe 4.793 2.767 5.791
Fe 1.598 0.922 2.065
Te 3.195 1.845 3.928
Tl 0.000 0.000 0.000
```